# 1
Computed, not measured: a relaxed structure of HoIn3Cu8 at the PBE level of DFT.

N(E_F)   1.5 states/eV per cell
Spin magnetization   0.00 μB/cell
Excess energy over the best structure of this formula in the dataset   0.0 meV/atom
SG   R3m (160)
ΔE_f   -1.78 eV per formula unit
Raw total energy   -3.945 eV/atom
Calculated volume   15.567 A^3/atom

The structure in POSCAR format:
```
HoIn3Cu8
1.0
-2.127 4.566 0.541
-5.046 0.452 0.072
-2.359 0.698 8.551
Cu In Ho
8 3 1
direct
0.938 0.435 0.690
0.938 0.938 0.690
0.939 0.438 0.184
0.688 0.688 0.937
0.435 0.938 0.690
0.438 0.939 0.184
0.438 0.438 0.184
0.187 0.187 0.439
0.375 0.375 0.874
0.499 0.499 0.504
0.000 0.000 0.001
0.875 0.875 0.375
```



# 2
Computed, not measured: a relaxed structure of Hg3Ir at the PBE level of DFT.

N(E_F)   3.1 states/eV per cell
Spin magnetization   0.00 μB/cell
Excess energy over the best structure of this formula in the dataset   156.2 meV/atom
SG   R-3m (166)
ΔE_f   1.75 eV per formula unit
Raw total energy   -2.003 eV/atom
Calculated volume   21.138 A^3/atom

The structure in POSCAR format:
```
Hg3Ir
1.0
-0.229 2.983 -0.109
-8.180 -2.385 -7.000
-1.629 1.452 2.049
Ir Hg
1 3
direct
0.750 0.250 0.750
0.488 0.464 0.488
0.250 0.750 0.250
0.012 0.036 0.012
```